Rb3Cd2Ag2: relaxed, PBE-GGA.

Cell lengths 7.1285, 9.7218, 15.3364 Å; angles 90.00, 90.00, 90.00 degrees
Space group Pbcm (No. 57)
Unique sites:
Rb  0.1269  0.1130  0.1000
Rb  0.3399  0.7266  0.7500
Cd  0.2021  0.0798  0.7500
Cd  0.3992  0.7500  0.0000
Ag  0.3958  0.0189  0.5847

formation energy from the elements = -13.4 meV/atom
calculated volume = 1063 Å³ per cell
calculated density = 4356 kg/m3

***

Rb3Cd5Ag6: relaxed, PBE-GGA.

Cell lengths 4.9966, 14.0881, 11.4561 Å; angles 90.00, 90.00, 90.00 degrees
Space group Pmmn (No. 59, origin choice 2)
Unique sites:
Rb  0.2500  0.0963  0.2448
Rb  0.2500  0.7500  0.2564
Cd  0.2500  0.0792  0.6570
Cd  0.2500  0.6357  0.9893
Cd  0.2500  0.7500  0.5943
Ag  0.2500  0.0581  0.9114
Ag  0.2500  0.2500  0.5166
Ag  0.2500  0.2500  0.9842
Ag  0.2500  0.5663  0.4847

formation energy from the elements = 28.7 meV/atom
calculated volume = 806 Å³ per cell
calculated density = 6036 kg/m3

***

Rb3Cd6Ag2: relaxed, PBE-GGA.

Cell lengths 4.6427, 4.6427, 35.2854 Å; angles 90.00, 90.00, 90.00 degrees
Space group I4/mmm (No. 139)
Unique sites:
Rb  0.0000  0.0000  0.0000
Rb  0.0000  0.0000  0.1746
Cd  0.0000  0.0000  0.2743
Cd  0.0000  0.5000  0.0878
Ag  0.0000  0.0000  0.3616

formation energy from the elements = 32.5 meV/atom
calculated volume = 761 Å³ per cell
calculated density = 5007 kg/m3

***

RbCd2Ag2: relaxed, PBE-GGA.

Cell lengths 4.9296, 4.9296, 11.6991 Å; angles 90.00, 90.00, 90.00 degrees
Space group I4/mmm (No. 139)
Unique sites:
Rb  0.0000  0.0000  0.0000
Cd  0.0000  0.5000  0.2500
Ag  0.0000  0.0000  0.3804

formation energy from the elements = -0.8 meV/atom
E above lowest polymorph = 0.015 eV per atom
calculated volume = 284 Å³ per cell
calculated density = 6145 kg/m3

***

Rb2Cd3Ag: relaxed, PBE-GGA.

Cell lengths 10.7768, 8.6646, 9.7973 Å; angles 90.00, 97.20, 90.00 degrees
Space group C2/c (No. 15)
Unique sites:
Rb  0.1743  0.1235  0.1510
Cd  0.0000  0.2068  0.7500
Cd  0.1043  0.3542  0.5133
Ag  0.0000  0.4647  0.2500

formation energy from the elements = 0.0 meV/atom
E above lowest polymorph = 0.024 eV per atom
calculated volume = 908 Å³ per cell
calculated density = 4508 kg/m3

***

RbCd5Ag2: relaxed, PBE-GGA.

Cell lengths 4.5716, 8.3602, 11.1392 Å; angles 90.00, 90.00, 90.00 degrees
Space group Immm (No. 71)
Unique sites:
Rb  0.0000  0.0000  0.0000
Cd  0.0000  0.1863  0.3483
Cd  0.0000  0.5000  0.0000
Ag  0.0000  0.5000  0.2510

formation energy from the elements = -24.8 meV/atom
calculated volume = 426 Å³ per cell
calculated density = 6734 kg/m3

***

Rb2CdAg2: relaxed, PBE-GGA.

Cell lengths 7.8385, 7.8385, 5.5515 Å; angles 90.00, 90.00, 90.00 degrees
Space group P4/mbm (No. 127)
Unique sites:
Rb  0.1776  0.3224  0.0000
Cd  0.0000  0.0000  0.5000
Ag  0.1284  0.6284  0.5000

formation energy from the elements = 70.7 meV/atom
E above lowest polymorph = 0.101 eV per atom
calculated volume = 341 Å³ per cell
calculated density = 4859 kg/m3

***

Rb2Cd5Ag3: relaxed, PBE-GGA.

Cell lengths 15.8610, 11.7125, 6.9443 Å; angles 90.00, 115.60, 90.00 degrees
Space group C2/c (No. 15)
Unique sites:
Rb  0.1258  0.2326  0.1257
Cd  0.0000  0.4980  0.2500
Cd  0.1322  0.1100  0.6320
Cd  0.2208  0.4984  0.9714
Ag  0.0000  0.0012  0.2500
Ag  0.1132  0.3522  0.6130

formation energy from the elements = -18.8 meV/atom
calculated volume = 1163 Å³ per cell
calculated density = 6032 kg/m3